Record 1
Computed, not measured: an optimized crystal structure of YAs2O at the GGA-PBE level of DFT.

Raw total energy   -5.62 eV/atom
Space-group type   I-42d
D(E_F)   0.30 states/eV per atom
ρ   4.9 Mg/m³

a = 7.4116 Å, b = 7.4116 Å, c = 7.4116 Å
α = 139.23°, β = 139.23°, γ = 59.02°
Closest atoms and distances in Å follow each position.
Atoms (fractional coordinates):
Y 0.0000 0.0000 0.0000  8 As 3.27-3.34, 4 O 3.65
Y 0.7500 0.2500 0.5000  8 As 3.27-3.34, 4 O 3.65
As 0.3665 0.1250 0.7415  2 O 2.07
As 0.3750 0.6335 0.7585  2 O 2.07
As 0.3835 0.6250 0.2585  2 O 2.07
As 0.8750 0.6165 0.2415  2 O 2.07
O 0.2500 0.7500 0.5000  4 As 2.07
O 0.5000 0.5000 0.0000  4 As 2.07

***

Record 2
Computed, not measured: an optimized crystal structure of Nd3Sm8Dy3 at the GGA-PBE level of DFT.

Space-group type   Immm
D(E_F)   1.42 states/eV per atom
ρ   7.4 Mg/m³
ΔH_f (0 K)   0.101 eV/atom

a = 9.7996 Å, b = 9.7996 Å, c = 9.7996 Å
α = 146.00°, β = 112.21°, γ = 78.05°
Closest atoms and distances in Å follow each position.
Atoms (fractional coordinates):
Nd 0.0000 0.0000 0.0000  4 Dy 3.62, 4 Nd 3.97, 4 Sm 4.03
Nd 0.1807 0.6807 0.5000  2 Dy 3.53, 8 Sm 3.67-3.77
Nd 0.8193 0.3193 0.5000  2 Dy 3.53, 8 Sm 3.67-3.77
Sm 0.1191 0.2787 0.8403  6 Sm 3.32-3.59, 2 Nd 3.67, 1 Dy 3.69
Sm 0.2365 0.8970 0.3395  5 Sm 3.14-3.51
Sm 0.4384 0.2787 0.1597  6 Sm 3.32-3.59, 2 Nd 3.67, 1 Dy 3.69
Sm 0.4425 0.1030 0.3395  5 Sm 3.14-3.51
Sm 0.5575 0.8970 0.6605  5 Sm 3.14-3.51
Sm 0.5616 0.7213 0.8403  6 Sm 3.32-3.59, 2 Nd 3.67, 1 Dy 3.69
Sm 0.7635 0.1030 0.6605  5 Sm 3.14-3.51
Sm 0.8809 0.7213 0.1597  6 Sm 3.32-3.59, 2 Nd 3.67, 1 Dy 3.69
Dy 0.2023 0.5000 0.7023  1 Dy 3.25, 4 Nd 3.53-3.62, 4 Sm 3.59
Dy 0.5000 0.5000 0.0000  2 Dy 3.25
Dy 0.7977 0.5000 0.2977  1 Dy 3.25, 4 Nd 3.53-3.62, 4 Sm 3.59

***

Record 3
Computed, not measured: an optimized crystal structure of KH2Rh2 at the GGA-PBE level of DFT.

Raw total energy   -3.88 eV/atom
Space-group type   P4/mbm
D(E_F)   0.58 states/eV per atom
ρ   5.3 Mg/m³

a = 7.6197 Å, b = 7.6197 Å, c = 2.6555 Å
α = 90.00°, β = 90.00°, γ = 90.00°
Closest atoms and distances in Å follow each position.
Atoms (fractional coordinates):
K 0.0000 0.0000 0.0000  2 K 2.66
K 0.5000 0.5000 0.0000  2 K 2.66
H 0.0866 0.4134 0.5000  1 H 1.87, 4 Rh 2.03
H 0.4134 0.9134 0.5000  1 H 1.87, 4 Rh 2.03
H 0.5866 0.0866 0.5000  1 H 1.87, 4 Rh 2.03
H 0.9134 0.5866 0.5000  1 H 1.87, 4 Rh 2.03
Rh 0.1126 0.6126 0.0000  4 H 2.03
Rh 0.3874 0.1126 0.0000  4 H 2.03
Rh 0.6126 0.8874 0.0000  4 H 2.03
Rh 0.8874 0.3874 0.0000  4 H 2.03

***

Record 4
Computed, not measured: an optimized crystal structure of Tb6FeHg2 at the GGA-PBE level of DFT.

Space-group type   Amm2
D(E_F)   1.36 states/eV per atom
ρ   9.8 Mg/m³
ΔH_f (0 K)   -0.204 eV/atom

a = 3.7352 Å, b = 8.6700 Å, c = 8.6700 Å
α = 121.56°, β = 90.00°, γ = 90.00°
Closest atoms and distances in Å follow each position.
Atoms (fractional coordinates):
Tb 0.0000 0.0000 0.0000  2 Fe 2.84
Tb 0.0000 0.5451 0.7896  2 Fe 2.71
Tb 0.0000 0.7896 0.5451  2 Fe 2.71
Tb 0.5000 0.1897 0.7909  4 Hg 3.18-3.26, 4 Tb 3.51-3.55
Tb 0.5000 0.3846 0.3846  1 Fe 3.07, 4 Hg 3.22
Tb 0.5000 0.7909 0.1897  4 Hg 3.18-3.26, 4 Tb 3.51-3.55
Fe 0.5000 0.7475 0.7475  6 Tb 2.71-2.84
Hg 0.0000 0.1232 0.4525  9 Tb 3.18-3.49
Hg 0.0000 0.4525 0.1232  9 Tb 3.18-3.49

***

Record 5
Computed, not measured: an optimized crystal structure of Rb2Tl6Pd at the GGA-PBE level of DFT.

Space-group type   C2/m
D(E_F)   0.51 states/eV per atom
ρ   8.4 Mg/m³
ΔH_f (0 K)   -0.085 eV/atom

a = 7.4744 Å, b = 7.4744 Å, c = 5.9836 Å
α = 94.77°, β = 94.77°, γ = 63.17°
Closest atoms and distances in Å follow each position.
Atoms (fractional coordinates):
Rb 0.1307 0.1307 0.2076  12 Tl 3.70-4.00, 1 Rb 3.95
Rb 0.8693 0.8693 0.7924  12 Tl 3.70-4.00, 1 Rb 3.95
Tl 0.1911 0.6109 0.3123  1 Pd 2.87, 1 Tl 3.21
Tl 0.3055 0.3055 0.7389  1 Pd 2.80
Tl 0.3891 0.8089 0.6877  1 Pd 2.87, 1 Tl 3.21
Tl 0.6109 0.1911 0.3123  1 Pd 2.87, 1 Tl 3.21
Tl 0.6945 0.6945 0.2611  1 Pd 2.80
Tl 0.8089 0.3891 0.6877  1 Pd 2.87, 1 Tl 3.21
Pd 0.5000 0.5000 0.0000  6 Tl 2.80-2.87

***

Record 6
Computed, not measured: an optimized crystal structure of Tl3RuS at the GGA-PBE level of DFT.

Raw total energy   -3.02 eV/atom
Space-group type   Pm-3m
D(E_F)   0.79 states/eV per atom
ρ   7.9 Mg/m³

a = 5.3907 Å, b = 5.3907 Å, c = 5.3907 Å
α = 90.00°, β = 90.00°, γ = 90.00°
Closest atoms and distances in Å follow each position.
Atoms (fractional coordinates):
Tl 0.0000 0.0000 0.5000  2 S 2.70
Tl 0.0000 0.5000 0.0000  2 S 2.70
Tl 0.5000 0.0000 0.0000  2 S 2.70
Ru 0.5000 0.5000 0.5000  12 Tl 3.81
S 0.0000 0.0000 0.0000  6 Tl 2.70

***

Record 7
Computed, not measured: an optimized crystal structure of Tl4InAu5 at the GGA-PBE level of DFT.

Space-group type   I4mm
D(E_F)   0.33 states/eV per atom
ρ   13.0 Mg/m³
ΔH_f (0 K)   -0.026 eV/atom

a = 7.2815 Å, b = 7.2815 Å, c = 7.2815 Å
α = 97.71°, β = 97.71°, γ = 137.04°
Closest atoms and distances in Å follow each position.
Atoms (fractional coordinates):
Tl 0.0000 0.3123 0.3123  5 Au 2.96-3.24
Tl 0.0000 0.6877 0.6877  5 Au 2.96-3.24
Tl 0.3123 0.0000 0.3123  5 Au 2.96-3.24
Tl 0.6877 0.0000 0.6877  5 Au 2.96-3.24
In 0.6814 0.6814 0.0000  6 Au 2.65-2.87
Au 0.1782 0.1782 0.0000  2 In 2.65-2.68
Au 0.2604 0.2604 0.6163  1 In 2.87, 2 Tl 2.96, 3 Au 2.98-3.10
Au 0.2604 0.6440 0.0000  1 In 2.87, 2 Tl 2.96, 3 Au 2.98-3.10
Au 0.6440 0.2604 0.0000  1 In 2.87, 2 Tl 2.96, 3 Au 2.98-3.10
Au 0.6440 0.6440 0.3837  1 In 2.87, 2 Tl 2.96, 3 Au 2.98-3.10

***

Record 8
Computed, not measured: an optimized crystal structure of Ti2PbO at the GGA-PBE level of DFT.

Raw total energy   -6.17 eV/atom
Space-group type   Fm-3m
D(E_F)   0.73 states/eV per atom
ρ   7.9 Mg/m³

a = 4.5553 Å, b = 4.5553 Å, c = 4.5553 Å
α = 60.00°, β = 60.00°, γ = 60.00°
Closest atoms and distances in Å follow each position.
Atoms (fractional coordinates):
Ti 0.2500 0.2500 0.2500  4 O 2.79, 4 Pb 2.79
Ti 0.7500 0.7500 0.7500  4 O 2.79, 4 Pb 2.79
Pb 0.0000 0.0000 0.0000  8 Ti 2.79
O 0.5000 0.5000 0.5000  8 Ti 2.79